Material: K2CaOs
Method: DFT, SCAN
State: PBEsol geometry

Summary:
- space-group type = No. 99
- formation energy from the elements (kJ per mole of atoms) = 83.2
- total magnetization (μB/f.u.) = 1.1
- polymorph energy (0 for the lowest one) (eV/atom) = 0.000

Lattice parameters (Å, degrees): 3.427 3.427 11.736 90.00 90.00 90.00
Element x y z (fractional)
K: 0.000 0.000 0.000
K: 0.500 0.500 0.360
Ca: 0.500 0.500 0.683
Os: 0.000 0.000 0.549

Material: TbErO3
Method: DFT, SCAN
State: PBEsol geometry

Summary:
- space-group type = No. 62
- calculated total energy (eV/atom) = -27.02
- total magnetization (μB/f.u.) = 0.0

Lattice parameters (Å, degrees): 5.862 8.296 5.592 90.00 90.00 90.00
Element x y z (fractional)
Tb: 0.056 0.250 0.023
Tb: 0.444 0.750 0.523
Tb: 0.556 0.250 0.477
Tb: 0.944 0.750 0.977
Er: 0.000 0.000 0.500
Er: 0.000 0.500 0.500
Er: 0.500 0.000 0.000
Er: 0.500 0.500 0.000
O: 0.077 0.750 0.350
O: 0.192 0.581 0.811
O: 0.192 0.919 0.811
O: 0.308 0.081 0.311
O: 0.308 0.419 0.311
O: 0.423 0.250 0.850
O: 0.577 0.750 0.150
O: 0.692 0.581 0.689
O: 0.692 0.919 0.689
O: 0.808 0.081 0.189
O: 0.808 0.419 0.189
O: 0.923 0.250 0.650

Material: AlCrAg2
Method: DFT, SCAN
State: PBEsol geometry

Summary:
- space-group type = No. 119
- formation energy from the elements (kJ per mole of atoms) = -0.6
- total magnetization (μB/f.u.) = 4.1

Lattice parameters (Å, degrees): 4.802 4.802 4.802 130.34 130.34 72.86
Element x y z (fractional)
Al: 0.000 0.000 0.000
Cr: 0.750 0.250 0.500
Ag: 0.250 0.750 0.500
Ag: 0.500 0.500 0.000

Material: CoRuSe2
Method: DFT, SCAN
State: PBEsol geometry

Summary:
- space-group type = No. 12
- total magnetization (μB/f.u.) = 2.0
- polymorph energy (0 for the lowest one) (eV/atom) = 0.438

Lattice parameters (Å, degrees): 4.006 4.006 5.308 102.60 102.60 44.67
Element x y z (fractional)
Co: 0.000 0.000 0.000
Ru: 0.500 0.500 0.500
Se: 0.252 0.252 0.755
Se: 0.748 0.748 0.245

Material: Rb2LiTaS4
Method: DFT, SCAN
State: PBEsol geometry

Summary:
- space-group type = No. 2
- calculated total energy (eV/atom) = -20.08
- total magnetization (μB/f.u.) = 0.0

Lattice parameters (Å, degrees): 6.989 11.341 11.856 71.62 87.98 84.00
Element x y z (fractional)
Rb: 0.182 0.096 0.252
Rb: 0.238 0.625 0.723
Rb: 0.249 0.651 0.350
Rb: 0.252 0.155 0.859
Rb: 0.748 0.845 0.141
Rb: 0.751 0.349 0.650
Rb: 0.762 0.375 0.277
Rb: 0.818 0.904 0.748
Li: 0.273 0.477 0.071
Li: 0.323 0.989 0.585
Li: 0.677 0.011 0.415
Li: 0.727 0.523 0.929
Ta: 0.275 0.274 0.485
Ta: 0.280 0.769 0.985
Ta: 0.720 0.231 0.015
Ta: 0.725 0.726 0.515
S: 0.024 0.660 0.991
S: 0.041 0.143 0.531
S: 0.230 0.895 0.100
S: 0.249 0.401 0.599
S: 0.260 0.381 0.289
S: 0.332 0.885 0.794
S: 0.443 0.853 0.469
S: 0.467 0.375 0.939
S: 0.533 0.625 0.061
S: 0.557 0.147 0.531
S: 0.668 0.115 0.206
S: 0.740 0.619 0.711
S: 0.751 0.599 0.401
S: 0.770 0.105 0.900
S: 0.959 0.857 0.469
S: 0.976 0.340 0.009

Material: Y2HgSb2
Method: DFT, SCAN
State: PBEsol geometry

Summary:
- space-group type = No. 139
- calculated total energy (eV/atom) = -40.24
- total magnetization (μB/f.u.) = 0.0

Lattice parameters (Å, degrees): 6.658 6.658 6.658 132.14 132.14 70.01
Element x y z (fractional)
Y: 0.250 0.750 0.500
Y: 0.750 0.250 0.500
Hg: 0.000 0.000 0.000
Sb: 0.367 0.367 0.000
Sb: 0.633 0.633 0.000

Material: Dy2P4O13
Method: DFT, SCAN
State: PBEsol geometry

Summary:
- space-group type = No. 14
- total magnetization (μB/f.u.) = 0.0
- polymorph energy (0 for the lowest one) (eV/atom) = 0.029

Lattice parameters (Å, degrees): 8.967 9.593 14.060 90.00 107.67 90.00
Element x y z (fractional)
Dy: 0.208 0.005 0.011
Dy: 0.208 0.495 0.511
Dy: 0.288 0.004 0.501
Dy: 0.288 0.496 0.001
Dy: 0.712 0.504 0.999
Dy: 0.712 0.996 0.499
Dy: 0.792 0.505 0.489
Dy: 0.792 0.995 0.989
P: 0.027 0.224 0.593
P: 0.027 0.276 0.093
P: 0.091 0.238 0.314
P: 0.091 0.262 0.814
P: 0.248 0.727 0.192
P: 0.248 0.773 0.692
P: 0.457 0.720 0.411
P: 0.457 0.780 0.911
P: 0.543 0.220 0.089
P: 0.543 0.280 0.589
P: 0.752 0.227 0.308
P: 0.752 0.273 0.808
P: 0.909 0.738 0.186
P: 0.909 0.762 0.686
P: 0.973 0.724 0.907
P: 0.973 0.776 0.407
O: 0.019 0.121 0.063
O: 0.019 0.379 0.563
O: 0.089 0.688 0.217
O: 0.089 0.812 0.717
O: 0.115 0.132 0.876
O: 0.115 0.368 0.376
O: 0.117 0.222 0.711
O: 0.117 0.278 0.211
O: 0.128 0.141 0.546
O: 0.128 0.359 0.046
O: 0.134 0.663 0.924
O: 0.134 0.837 0.424
O: 0.193 0.115 0.356
O: 0.193 0.385 0.856
O: 0.228 0.639 0.635
O: 0.228 0.861 0.135
O: 0.300 0.602 0.146
O: 0.300 0.898 0.646
O: 0.358 0.622 0.450
O: 0.358 0.878 0.950
O: 0.367 0.742 0.797
O: 0.367 0.758 0.297
O: 0.386 0.158 0.086
O: 0.386 0.342 0.586
O: 0.480 0.634 0.962
O: 0.480 0.866 0.462
O: 0.520 0.134 0.538
O: 0.520 0.366 0.038
O: 0.614 0.658 0.414
O: 0.614 0.842 0.914
O: 0.633 0.242 0.703
O: 0.633 0.258 0.203
O: 0.642 0.122 0.050
O: 0.642 0.378 0.550
O: 0.700 0.102 0.354
O: 0.700 0.398 0.854
O: 0.772 0.139 0.865
O: 0.772 0.361 0.365
O: 0.807 0.615 0.144
O: 0.807 0.885 0.644
O: 0.866 0.163 0.576
O: 0.866 0.337 0.076
O: 0.872 0.641 0.954
O: 0.872 0.859 0.454
O: 0.883 0.722 0.789
O: 0.883 0.778 0.289
O: 0.885 0.632 0.624
O: 0.885 0.868 0.124
O: 0.911 0.188 0.283
O: 0.911 0.312 0.783
O: 0.981 0.621 0.437
O: 0.981 0.879 0.937

Material: Be3Pt
Method: DFT, SCAN
State: PBEsol geometry

Summary:
- space-group type = No. 10
- formation energy from the elements (kJ per mole of atoms) = -39.4
- total magnetization (μB/f.u.) = 0.0

Lattice parameters (Å, degrees): 2.582 3.639 4.422 90.00 102.09 90.00
Element x y z (fractional)
Be: 0.000 0.000 0.000
Be: 0.153 0.500 0.761
Be: 0.847 0.500 0.239
Pt: 0.500 0.000 0.500

Material: LaAgO2
Method: DFT, SCAN
State: PBEsol geometry

Summary:
- space-group type = No. 194
- calculated total energy (eV/atom) = -24.15
- total magnetization (μB/f.u.) = 0.0

Lattice parameters (Å, degrees): 3.794 3.794 12.124 90.00 90.00 120.00
Element x y z (fractional)
La: 0.000 0.000 0.000
La: 0.000 0.000 0.500
Ag: 0.333 0.667 0.250
Ag: 0.667 0.333 0.750
O: 0.333 0.667 0.084
O: 0.333 0.667 0.416
O: 0.667 0.333 0.584
O: 0.667 0.333 0.916

Material: GaSb2PdI
Method: DFT, SCAN
State: PBEsol geometry

Summary:
- space-group type = No. 123
- calculated total energy (eV/atom) = -31.71
- total magnetization (μB/f.u.) = 0.0

Lattice parameters (Å, degrees): 5.111 5.111 5.701 90.00 90.00 90.00
Element x y z (fractional)
Ga: 0.000 0.000 0.000
Sb: 0.000 0.500 0.500
Sb: 0.500 0.000 0.500
Pd: 0.500 0.500 0.500
I: 0.500 0.500 0.000

Material: Sc3Ag
Method: DFT, SCAN
State: PBEsol geometry

Summary:
- space-group type = No. 59
- formation energy from the elements (kJ per mole of atoms) = -8.4
- total magnetization (μB/f.u.) = 0.0
- polymorph energy (0 for the lowest one) (eV/atom) = 0.119

Lattice parameters (Å, degrees): 4.848 6.203 5.550 90.00 90.00 90.00
Element x y z (fractional)
Sc: 0.250 0.006 0.157
Sc: 0.250 0.250 0.629
Sc: 0.250 0.494 0.157
Sc: 0.750 0.506 0.843
Sc: 0.750 0.750 0.371
Sc: 0.750 0.994 0.843
Ag: 0.250 0.750 0.671
Ag: 0.750 0.250 0.329

Material: K2CoSbC
Method: DFT, SCAN
State: PBEsol geometry

Summary:
- space-group type = No. 123
- calculated total energy (eV/atom) = -15.04
- total magnetization (μB/f.u.) = 4.1

Lattice parameters (Å, degrees): 5.988 5.988 4.634 90.00 90.00 90.00
Element x y z (fractional)
K: 0.000 0.500 0.000
K: 0.500 0.000 0.000
Co: 0.000 0.000 0.000
Sb: 0.000 0.000 0.500
C: 0.500 0.500 0.500

Material: MgCoPt2
Method: DFT, SCAN
State: PBEsol geometry

Summary:
- space-group type = No. 65
- formation energy from the elements (kJ per mole of atoms) = -52.4
- total magnetization (μB/f.u.) = 2.3

Lattice parameters (Å, degrees): 4.572 4.572 2.769 90.00 90.00 105.46
Element x y z (fractional)
Mg: 0.000 0.000 0.000
Co: 0.500 0.500 0.000
Pt: 0.000 0.500 0.500
Pt: 0.500 0.000 0.500

Material: CaIn6Cu6
Method: DFT, SCAN
State: PBEsol geometry

Summary:
- space-group type = No. 71
- formation energy from the elements (kJ per mole of atoms) = -13.8
- total magnetization (μB/f.u.) = 0.0

Lattice parameters (Å, degrees): 7.003 7.003 7.003 135.48 98.53 97.97
Element x y z (fractional)
Ca: 0.000 0.000 0.000
In: 0.181 0.681 0.500
In: 0.337 0.000 0.337
In: 0.342 0.342 0.000
In: 0.658 0.658 0.000
In: 0.663 0.000 0.663
In: 0.819 0.319 0.500
Cu: 0.000 0.000 0.500
Cu: 0.000 0.500 0.000
Cu: 0.238 0.500 0.738
Cu: 0.500 0.000 0.000
Cu: 0.500 0.500 0.500
Cu: 0.762 0.500 0.262

Material: MgCoRe
Method: DFT, SCAN
State: PBEsol geometry

Summary:
- space-group type = No. 107
- formation energy from the elements (kJ per mole of atoms) = 17.1
- total magnetization (μB/f.u.) = 0.9
- polymorph energy (0 for the lowest one) (eV/atom) = 0.000

Lattice parameters (Å, degrees): 5.875 5.875 5.875 152.98 152.98 38.58
Element x y z (fractional)
Mg: 0.000 0.000 0.000
Co: 0.670 0.670 0.000
Re: 0.304 0.304 0.000

Material: CdInNF2
Method: DFT, SCAN
State: PBEsol geometry

Summary:
- space-group type = No. 123
- calculated total energy (eV/atom) = -16.96
- total magnetization (μB/f.u.) = 0.0

Lattice parameters (Å, degrees): 4.171 4.171 4.264 90.00 90.00 90.00
Element x y z (fractional)
Cd: 0.000 0.000 0.000
In: 0.500 0.500 0.500
N: 0.500 0.500 0.000
F: 0.000 0.500 0.500
F: 0.500 0.000 0.500

Material: Ta2CdIr
Method: DFT, SCAN
State: PBEsol geometry

Summary:
- space-group type = No. 99
- formation energy from the elements (kJ per mole of atoms) = -10.5
- total magnetization (μB/f.u.) = 0.0

Lattice parameters (Å, degrees): 2.914 2.914 8.150 90.00 90.00 90.00
Element x y z (fractional)
Ta: 0.000 0.000 0.000
Ta: 0.500 0.500 0.270
Cd: 0.000 0.000 0.544
Ir: 0.500 0.500 0.793

Material: CdIn2Au
Method: DFT, SCAN
State: PBEsol geometry

Summary:
- space-group type = No. 8
- formation energy from the elements (kJ per mole of atoms) = -7.0
- total magnetization (μB/f.u.) = 0.0

Lattice parameters (Å, degrees): 4.895 4.895 5.575 101.00 101.00 41.53
Element x y z (fractional)
Cd: 0.000 0.000 0.000
In: 0.244 0.244 0.748
In: 0.482 0.482 0.451
Au: 0.741 0.741 0.227

Material: ZrSc2In
Method: DFT, SCAN
State: PBEsol geometry

Summary:
- space-group type = No. 25
- formation energy from the elements (kJ per mole of atoms) = -26.7
- total magnetization (μB/f.u.) = 0.0

Lattice parameters (Å, degrees): 3.298 4.308 6.230 90.00 90.00 90.00
Element x y z (fractional)
Zr: 0.000 0.000 0.000
Sc: 0.000 0.000 0.506
Sc: 0.500 0.500 0.764
In: 0.500 0.500 0.257

Material: Tl4Hg3
Method: DFT, SCAN
State: PBEsol geometry

Summary:
- space-group type = No. 139
- formation energy from the elements (kJ per mole of atoms) = 0.0
- total magnetization (μB/f.u.) = 0.0
- polymorph energy (0 for the lowest one) (eV/atom) = 0.000

Lattice parameters (Å, degrees): 12.675 12.675 12.675 162.48 162.48 24.87
Element x y z (fractional)
Tl: 0.070 0.070 0.000
Tl: 0.352 0.352 0.000
Tl: 0.648 0.648 0.000
Tl: 0.930 0.930 0.000
Hg: 0.218 0.218 0.000
Hg: 0.500 0.500 0.000
Hg: 0.782 0.782 0.000

Material: Rb2CuSbBr6
Method: DFT, SCAN
State: PBEsol geometry

Summary:
- space-group type = No. 225
- calculated total energy (eV/atom) = -22.17
- total magnetization (μB/f.u.) = 0.0

Lattice parameters (Å, degrees): 7.589 7.589 7.589 60.00 60.00 60.00
Element x y z (fractional)
Rb: 0.250 0.250 0.250
Rb: 0.750 0.750 0.750
Cu: 0.000 0.000 0.000
Sb: 0.500 0.500 0.500
Br: 0.240 0.240 0.760
Br: 0.240 0.760 0.240
Br: 0.240 0.760 0.760
Br: 0.760 0.240 0.240
Br: 0.760 0.240 0.760
Br: 0.760 0.760 0.240

Material: Cr2PRu
Method: DFT, SCAN
State: PBEsol geometry

Summary:
- space-group type = No. 47
- formation energy from the elements (kJ per mole of atoms) = -23.3
- total magnetization (μB/f.u.) = 0.9

Lattice parameters (Å, degrees): 2.893 3.932 4.125 90.00 90.00 90.00
Element x y z (fractional)
Cr: 0.000 0.000 0.000
Cr: 0.500 0.500 0.000
P: 0.000 0.500 0.500
Ru: 0.500 0.000 0.500